Record 1
Here is a geometry-optimized Zn2TcRh structure from Alexandria via LeMat-Bulk. Energies are from PBE.

abc: 4.329 2.688 4.948
angles: 84.47 90.00 90.00
Positions (direct):
1 Tc 0.500 0.750 0.750
2 Zn 0.000 0.045 0.000
3 Rh 0.500 0.250 0.250
4 Zn 0.000 0.455 0.500

Output
ΔE_f (eV per formula unit): 0.04
Symmetry: P2/m, No. 10
DOS(E_F) (states/eV/f.u.): 4.07

***

Record 2
Here is a geometry-optimized ZnTc3Rh structure from Alexandria via LeMat-Bulk. Energies are from PBE.

abc: 4.426 4.426 4.426
angles: 90.00 90.00 90.00
Positions (direct):
1 Tc 0.000 0.500 0.000
2 Zn 0.000 0.000 0.000
3 Tc 0.500 0.000 0.000
4 Tc 0.000 0.000 0.500
5 Rh 0.500 0.500 0.500

Output
ΔE_f (eV per formula unit): 8.69
Symmetry: Pm-3m, No. 221
DOS(E_F) (states/eV/f.u.): 7.49

***

Record 3
Here is a geometry-optimized Zn2TcRh structure from Alexandria via LeMat-Bulk. Energies are from PBE.

abc: 4.660 4.660 4.712
angles: 81.78 81.78 34.22
Positions (direct):
1 Zn 0.753 0.753 0.763
2 Tc 0.246 0.246 0.267
3 Zn 0.999 0.999 0.987
4 Rh 0.502 0.502 0.483

Output
ΔE_f (eV per formula unit): -0.26
Symmetry: Cm, No. 8
DOS(E_F) (states/eV/f.u.): 3.02

***

Record 4
Here is a geometry-optimized Zn2TcRh structure from Alexandria via LeMat-Bulk. Energies are from PBE.

abc: 2.809 4.473 4.473
angles: 90.00 90.00 90.00
Positions (direct):
1 Zn 0.000 0.500 0.500
2 Rh 0.500 0.500 0.000
3 Zn 0.000 0.000 0.000
4 Tc 0.500 0.000 0.500

Output
ΔE_f (eV per formula unit): 0.00
Symmetry: P4/mmm, No. 123
DOS(E_F) (states/eV/f.u.): 4.06